The following is a GGA-PBE calculation of crystalline MgPdAu3 at its relaxed geometry, from Alexandria via LeMat-Bulk.

abc: 7.005 7.355 7.076
angles: 90.00 90.00 90.00
Atoms (fractional coordinates):
Mg 0.295 0.578 0.750
Mg 0.205 0.078 0.250
Mg 0.705 0.422 0.250
Mg 0.795 0.922 0.750
Pd 0.000 0.500 0.000
Pd 0.500 0.000 0.500
Pd 0.500 0.000 0.000
Pd 0.000 0.500 0.500
Au 0.870 0.146 0.052
Au 0.630 0.646 0.552
Au 0.630 0.646 0.948
Au 0.130 0.854 0.552
Au 0.130 0.854 0.948
Au 0.370 0.354 0.448
Au 0.370 0.354 0.052
Au 0.870 0.146 0.448
Au 0.148 0.206 0.750
Au 0.352 0.706 0.250
Au 0.852 0.794 0.250
Au 0.648 0.294 0.750

## Properties
VASP energy = -3.560 eV/atom
Energy relative to the elements = -236 meV per atom
Relative energy among the computed polymorphs = 58 meV per atom

***

The following is a GGA-PBE calculation of crystalline RbNbSi3 at its relaxed geometry, from Alexandria via LeMat-Bulk.

abc: 4.991 4.991 4.991
angles: 90.00 90.00 90.00
Atoms (fractional coordinates):
Nb 0.500 0.500 0.500
Si 0.000 0.500 0.000
Si 0.000 0.000 0.500
Si 0.500 0.000 0.000
Rb 0.000 0.000 0.000

## Properties
VASP energy = -2.811 eV/atom
Energy relative to the elements, uncorrected = 2.65 eV per atom
Relative energy among the computed polymorphs = 2396 meV per atom

***

The following is a GGA-PBE calculation of crystalline YIn2F at its relaxed geometry, from Alexandria via LeMat-Bulk.

abc: 5.134 5.134 5.134
angles: 60.00 60.00 60.00
Atoms (fractional coordinates):
Y 0.500 0.500 0.500
F 0.000 0.000 0.000
In 0.250 0.250 0.250
In 0.750 0.750 0.750

## Properties
VASP energy = -3.990 eV/atom
Energy relative to the elements, uncorrected = -0.54 eV per atom
Relative energy among the computed polymorphs = 500 meV per atom